1.
Here is a relaxed structure of BeTl2Cu from Alexandria via LeMat-Bulk. Energies are from GGA-PBE.

Values from the calculation:
* symmetry: Immm, No. 71
* energy of formation: 2.4 eV per formula unit
* total magnetic moment: 0.000 μB per atom
* density of states at the Fermi level: 2.790 states/eV per cell

Cell: 4.2652 5.5897 6.7229 Å, 90.00 90.00 90.00°
Fractional coordinates of all 8 atoms:
Be: 0.0000 0.0000 0.0000
Be: 0.5000 0.5000 0.5000
Tl: 0.0000 0.5000 0.2580
Tl: 0.0000 0.5000 0.7420
Tl: 0.5000 0.0000 0.2420
Tl: 0.5000 0.0000 0.7580
Cu: 0.0000 0.0000 0.5000
Cu: 0.5000 0.5000 0.0000

2.
Here is a relaxed structure of BeTl2Cu from Alexandria via LeMat-Bulk. Energies are from GGA-PBE.

Values from the calculation:
* symmetry: Fm-3m, No. 225
* energy of formation: 2.5 eV per formula unit
* total magnetic moment: 0.000 μB per atom
* density of states at the Fermi level: 7.681 states/eV per cell

Cell: 6.7985 6.7985 6.7985 Å, 90.00 90.00 90.00°
Fractional coordinates of all 16 atoms:
Be: 0.0000 0.0000 0.0000
Be: 0.0000 0.5000 0.5000
Be: 0.5000 0.0000 0.5000
Be: 0.5000 0.5000 0.0000
Tl: 0.2500 0.2500 0.2500
Tl: 0.2500 0.2500 0.7500
Tl: 0.2500 0.7500 0.2500
Tl: 0.2500 0.7500 0.7500
Tl: 0.7500 0.2500 0.2500
Tl: 0.7500 0.2500 0.7500
Tl: 0.7500 0.7500 0.2500
Tl: 0.7500 0.7500 0.7500
Cu: 0.0000 0.0000 0.5000
Cu: 0.0000 0.5000 0.0000
Cu: 0.5000 0.0000 0.0000
Cu: 0.5000 0.5000 0.5000

3.
Here is a relaxed structure of Be2TlCu from Alexandria via LeMat-Bulk. Energies are from GGA-PBE.

Values from the calculation:
* symmetry: Pmmm, No. 47
* energy of formation: 1.7 eV per formula unit
* total magnetic moment: 0.000 μB per atom
* density of states at the Fermi level: 0.902 states/eV per cell

Cell: 2.8752 3.0675 6.5130 Å, 90.00 90.00 90.00°
Fractional coordinates of all 4 atoms:
Be: 0.0000 0.0000 0.1665
Be: 0.0000 0.0000 0.8335
Tl: 0.5000 0.5000 0.5000
Cu: 0.5000 0.5000 0.0000

4.
Here is a relaxed structure of BeTl2Cu from Alexandria via LeMat-Bulk. Energies are from GGA-PBE.

Values from the calculation:
* symmetry: Pmmm, No. 47
* energy of formation: 2.5 eV per formula unit
* total magnetic moment: 0.000 μB per atom
* density of states at the Fermi level: 1.491 states/eV per cell

Cell: 3.4775 4.1195 5.7461 Å, 90.00 90.00 90.00°
Fractional coordinates of all 4 atoms:
Be: 0.0000 0.0000 0.0000
Tl: 0.0000 0.5000 0.5000
Tl: 0.5000 0.5000 0.0000
Cu: 0.5000 0.0000 0.5000

5.
Here is a relaxed structure of Be2TlCu from Alexandria via LeMat-Bulk. Energies are from GGA-PBE.

Values from the calculation:
* symmetry: C2/m, No. 12
* energy of formation: 2.4 eV per formula unit
* total magnetic moment: 0.000 μB per atom
* density of states at the Fermi level: 1.862 states/eV per cell

Cell: 5.1972 8.3817 3.1270 Å, 90.00 117.56 90.00°
Fractional coordinates of all 8 atoms:
Be: 0.2500 0.2500 0.0000
Be: 0.2500 0.7500 0.0000
Be: 0.7500 0.2500 0.0000
Be: 0.7500 0.7500 0.0000
Tl: 0.0000 0.0000 0.0000
Tl: 0.5000 0.5000 0.0000
Cu: 0.0000 0.5000 0.0000
Cu: 0.5000 0.0000 0.0000

6.
Here is a relaxed structure of BeTl2Cu from Alexandria via LeMat-Bulk. Energies are from GGA-PBE.

Values from the calculation:
* symmetry: P2/m, No. 10
* energy of formation: 2.3 eV per formula unit
* total magnetic moment: 0.000 μB per atom
* density of states at the Fermi level: 0.870 states/eV per cell

Cell: 3.4882 3.3973 6.7738 Å, 90.00 101.95 90.00°
Fractional coordinates of all 4 atoms:
Be: 0.0000 0.0000 0.0000
Tl: 0.4621 0.5000 0.2460
Tl: 0.5379 0.5000 0.7540
Cu: 0.0000 0.0000 0.5000

7.
Here is a relaxed structure of BeTl2Cu from Alexandria via LeMat-Bulk. Energies are from GGA-PBE.

Values from the calculation:
* symmetry: Cm, No. 8
* energy of formation: 1.4 eV per formula unit
* total magnetic moment: 0.000 μB per atom
* density of states at the Fermi level: 2.413 states/eV per cell

Cell: 7.3211 3.5204 6.8304 Å, 90.00 103.73 90.00°
Fractional coordinates of all 8 atoms:
Be: 0.0000 0.0000 0.0000
Be: 0.5000 0.5000 0.0000
Tl: 0.0515 0.5000 0.6889
Tl: 0.2341 0.5000 0.2916
Tl: 0.5515 0.0000 0.6889
Tl: 0.7341 0.0000 0.2916
Cu: 0.3066 0.0000 0.9801
Cu: 0.8066 0.5000 0.9801

8.
Here is a relaxed structure of Be2TlCu from Alexandria via LeMat-Bulk. Energies are from GGA-PBE.

Values from the calculation:
* symmetry: I4_1/amd, No. 141
* energy of formation: 2.1 eV per formula unit
* total magnetic moment: 0.000 μB per atom
* density of states at the Fermi level: 7.633 states/eV per cell

Cell: 4.1615 4.1615 15.4268 Å, 90.00 90.00 90.00°
Fractional coordinates of all 16 atoms:
Be: 0.0000 0.0000 0.0000
Be: 0.0000 0.5000 0.0000
Be: 0.2500 0.2500 0.7500
Be: 0.2500 0.7500 0.2500
Be: 0.5000 0.0000 0.5000
Be: 0.5000 0.5000 0.5000
Be: 0.7500 0.2500 0.7500
Be: 0.7500 0.7500 0.2500
Tl: 0.0000 0.2500 0.3750
Tl: 0.0000 0.7500 0.6250
Tl: 0.5000 0.2500 0.1250
Tl: 0.5000 0.7500 0.8750
Cu: 0.0000 0.2500 0.8750
Cu: 0.0000 0.7500 0.1250
Cu: 0.5000 0.2500 0.6250
Cu: 0.5000 0.7500 0.3750

9.
Here is a relaxed structure of BeTl2Cu from Alexandria via LeMat-Bulk. Energies are from GGA-PBE.

Values from the calculation:
* symmetry: Pm, No. 6
* energy of formation: 1.5 eV per formula unit
* total magnetic moment: 0.000 μB per atom
* density of states at the Fermi level: 1.154 states/eV per cell

Cell: 4.1870 3.8213 5.3172 Å, 90.00 113.05 90.00°
Fractional coordinates of all 4 atoms:
Be: 0.0000 0.0000 0.0000
Tl: 0.2768 0.0000 0.5655
Tl: 0.5786 0.5000 0.1589
Cu: 0.8702 0.5000 0.7504

10.
Here is a relaxed structure of BeTl2Cu from Alexandria via LeMat-Bulk. Energies are from GGA-PBE.

Values from the calculation:
* symmetry: I-4m2, No. 119
* energy of formation: 2.5 eV per formula unit
* total magnetic moment: 0.000 μB per atom
* density of states at the Fermi level: 2.965 states/eV per cell

Cell: 3.8467 3.8467 11.0048 Å, 90.00 90.00 90.00°
Fractional coordinates of all 8 atoms:
Be: 0.0000 0.0000 0.0000
Be: 0.5000 0.5000 0.5000
Tl: 0.0000 0.0000 0.5000
Tl: 0.0000 0.5000 0.2500
Tl: 0.5000 0.0000 0.7500
Tl: 0.5000 0.5000 0.0000
Cu: 0.0000 0.5000 0.7500
Cu: 0.5000 0.0000 0.2500

11.
Here is a relaxed structure of Be2TlCu from Alexandria via LeMat-Bulk. Energies are from GGA-PBE.

Values from the calculation:
* symmetry: Cm, No. 8
* energy of formation: 1.2 eV per formula unit
* total magnetic moment: 0.000 μB per atom
* density of states at the Fermi level: 3.737 states/eV per cell

Cell: 6.7346 3.8989 5.1023 Å, 90.00 90.35 90.00°
Fractional coordinates of all 8 atoms:
Be: 0.0000 0.0000 0.0000
Be: 0.1685 0.5000 0.0015
Be: 0.5000 0.5000 0.0000
Be: 0.6685 0.0000 0.0015
Tl: 0.0565 0.5000 0.5010
Tl: 0.5565 0.0000 0.5010
Cu: 0.3322 0.0000 0.0001
Cu: 0.8322 0.5000 0.0001

12.
Here is a relaxed structure of BeTl3Cu from Alexandria via LeMat-Bulk. Energies are from GGA-PBE.

Values from the calculation:
* symmetry: Pm-3m, No. 221
* energy of formation: 2.8 eV per formula unit
* total magnetic moment: 0.000 μB per atom
* density of states at the Fermi level: 1.752 states/eV per cell

Cell: 4.9958 4.9958 4.9958 Å, 90.00 90.00 90.00°
Fractional coordinates of all 5 atoms:
Be: 0.0000 0.0000 0.0000
Tl: 0.0000 0.0000 0.5000
Tl: 0.0000 0.5000 0.0000
Tl: 0.5000 0.0000 0.0000
Cu: 0.5000 0.5000 0.5000